# PBE Sr3Ti2NbO9, relaxed
data_Sr3Ti2NbO9
_symmetry_space_group_name_H-M 'P -3 m 1'
_symmetry_Int_Tables_number 164
_symmetry_space_group_name_Hall '-P 3 2"'
_cell_length_a 5.6473
_cell_length_b 5.6473
_cell_length_c 6.9238
_cell_angle_alpha 90.00
_cell_angle_beta 90.00
_cell_angle_gamma 120.00
loop_
_atom_site_label
_atom_site_type_symbol
_atom_site_fract_x
_atom_site_fract_y
_atom_site_fract_z
_atom_site_occupancy
Sr1 Sr 0.0000 0.0000 0.0000 1
Sr2 Sr 0.3333 0.6667 0.6729 1
Ti1 Ti 0.3333 0.6667 0.1596 1
Nb1 Nb 0.0000 0.0000 0.5000 1
O1 O 0.0000 0.5000 0.0000 1
O2 O 0.1683 0.3366 0.3309 1
# spin magnetization: 0.00 μB/atom
# uncorrected formation energy: -3.0253 eV/atom
# DFT total energy: -8.061 eV per atom
# Fermi-level density of states: 0.23 states/eV/atom